Here is a relaxed structure of VZnIr from Alexandria. Energies are from GGA-PBE.

## Properties
As for the density of states at the Fermi level: 2.91 states/eV/cell. The space group is No. 63. The formation energy comes out at 0.13 eV per atom.

abc: 8.797 8.797 2.665
angles: 90.00 90.00 152.33
Last column: magnetic moment on the atom in μB.
Fractional coordinates of all 6 atoms:
Zn1 0.709 0.291 0.750  0.03
Zn2 0.291 0.709 0.250  0.03
Ir1 0.434 0.566 0.750  -0.07
Ir2 0.566 0.434 0.250  -0.07
V1 0.132 0.868 0.250  0.84
V2 0.868 0.132 0.750  0.84

Here is a relaxed structure of VZn4Ir from Alexandria. Energies are from GGA-PBE.

## Properties
As for the density of states at the Fermi level: 5.58 states/eV/cell. The space group is No. 216. The formation energy comes out at -0.05 eV per atom.

abc: 4.906 4.906 4.906
angles: 60.00 60.00 60.00
Last column: magnetic moment on the atom in μB.
Fractional coordinates of all 6 atoms:
Zn1 0.625 0.625 0.125  -0.01
Zn2 0.625 0.125 0.625  -0.01
Zn3 0.625 0.625 0.625  -0.01
Zn4 0.125 0.625 0.625  -0.01
Ir1 0.000 0.000 0.000  -0.07
V1 0.250 0.250 0.250  1.91

Here is a relaxed structure of V3ZnIr from Alexandria. Energies are from GGA-PBE.

## Properties
The distance to the lowest polymorph of the same formula comes out at 0.3569 eV per atom. As for the density of states at the Fermi level: 7.92 states/eV/cell. The space group is No. 221. The formation energy comes out at 1.32 eV per atom.

abc: 4.366 4.366 4.366
angles: 90.00 90.00 90.00
Last column: magnetic moment on the atom in μB.
Fractional coordinates of all 5 atoms:
Zn1 0.000 0.000 0.000  0.04
Ir1 0.500 0.500 0.500  0.03
V1 0.000 0.500 0.000  0.73
V2 0.000 0.000 0.500  0.73
V3 0.500 0.000 0.000  0.73

Here is a relaxed structure of VZnIr3 from Alexandria. Energies are from GGA-PBE.

## Properties
The distance to the lowest polymorph of the same formula comes out at 0.0000 eV per atom. As for the density of states at the Fermi level: 3.17 states/eV/cell. The space group is No. 221. The formation energy comes out at 1.10 eV per atom.

abc: 4.523 4.523 4.523
angles: 90.00 90.00 90.00
Fractional coordinates of all 5 atoms:
Zn1 0.500 0.500 0.500
Ir1 0.000 0.500 0.000
Ir2 0.000 0.000 0.500
Ir3 0.500 0.000 0.000
V1 0.000 0.000 0.000

Here is a relaxed structure of VZnIr2 from Alexandria. Energies are from GGA-PBE.

## Properties
As for the density of states at the Fermi level: 2.65 states/eV/cell. The space group is No. 166. The formation energy comes out at 0.09 eV per atom.

abc: 2.752 2.752 9.217
angles: 81.42 81.42 60.00
Fractional coordinates of all 4 atoms:
Zn1 0.500 0.500 0.500
Ir1 0.086 0.086 0.743
Ir2 0.914 0.914 0.257
V1 0.000 0.000 0.000

Here is a relaxed structure of VZnIr from Alexandria. Energies are from GGA-PBE.

## Properties
As for the density of states at the Fermi level: 2.61 states/eV/cell. The space group is No. 107. The formation energy comes out at -0.26 eV per atom.

abc: 3.061 3.061 4.980
angles: 107.90 107.90 90.00
Fractional coordinates of all 3 atoms:
Zn1 0.619 0.619 0.238
Ir1 0.941 0.941 0.881
V1 0.291 0.291 0.581

Here is a relaxed structure of V2Zn2Ir from Alexandria. Energies are from GGA-PBE.

## Properties
As for the density of states at the Fermi level: 9.26 states/eV/cell. The space group is No. 127. The formation energy comes out at 0.09 eV per atom.

abc: 6.714 6.714 3.069
angles: 90.00 90.00 90.00
Last column: magnetic moment on the atom in μB.
Fractional coordinates of all 10 atoms:
Zn1 0.371 0.871 0.000  0.00
Zn2 0.871 0.629 0.000  0.00
Zn3 0.629 0.129 0.000  0.00
Zn4 0.129 0.371 0.000  0.00
Ir1 0.000 0.000 0.000  0.03
Ir2 0.500 0.500 0.000  0.03
V1 0.171 0.671 0.500  0.18
V2 0.671 0.829 0.500  0.18
V3 0.829 0.329 0.500  0.18
V4 0.329 0.171 0.500  0.18

Here is a relaxed structure of ZrV4Ir from Alexandria. Energies are from GGA-PBE.

## Properties
As for the density of states at the Fermi level: 5.68 states/eV/cell. The space group is No. 216. The formation energy comes out at -0.15 eV per atom.

abc: 5.028 5.028 5.028
angles: 60.00 60.00 60.00
Fractional coordinates of all 6 atoms:
Ir1 0.250 0.250 0.250
Zr1 0.000 0.000 0.000
V1 0.625 0.625 0.124
V2 0.625 0.124 0.625
V3 0.625 0.625 0.625
V4 0.124 0.625 0.625

Here is a relaxed structure of Zr2V3Ir from Alexandria. Energies are from GGA-PBE.

## Properties
As for the density of states at the Fermi level: 3.64 states/eV/cell. The space group is No. 166. The formation energy comes out at -0.44 eV per atom.

abc: 5.196 5.196 5.231
angles: 90.02 119.76 120.00
Fractional coordinates of all 6 atoms:
Zr1 0.749 0.375 0.124
Zr2 0.251 0.625 0.876
V1 0.500 0.500 0.500
V2 0.000 0.000 0.500
V3 0.500 0.000 0.500
Ir1 0.000 0.000 0.000

Here is a relaxed structure of ZrVIr3 from Alexandria. Energies are from GGA-PBE.

## Properties
The distance to the lowest polymorph of the same formula comes out at 0.0000 eV per atom. As for the density of states at the Fermi level: 5.65 states/eV/cell. The space group is No. 221. The formation energy comes out at 0.49 eV per atom.

abc: 4.533 4.533 4.533
angles: 90.00 90.00 90.00
Fractional coordinates of all 5 atoms:
Ir1 0.000 0.500 0.000
Ir2 0.000 0.000 0.500
Ir3 0.500 0.000 0.000
Zr1 0.500 0.500 0.500
V1 0.000 0.000 0.000

Here is a relaxed structure of Zr3VIr from Alexandria. Energies are from GGA-PBE.

## Properties
The distance to the lowest polymorph of the same formula comes out at 0.1838 eV per atom. As for the density of states at the Fermi level: 4.87 states/eV/cell. The space group is No. 221. The formation energy comes out at 0.69 eV per atom.

abc: 4.750 4.750 4.750
angles: 90.00 90.00 90.00
Fractional coordinates of all 5 atoms:
Ir1 0.500 0.500 0.500
Zr1 0.000 0.500 0.000
Zr2 0.000 0.000 0.500
Zr3 0.500 0.000 0.000
V1 0.000 0.000 0.000

Here is a relaxed structure of Zr2VIr2 from Alexandria. Energies are from GGA-PBE.

## Properties
As for the density of states at the Fermi level: 10.66 states/eV/cell. The space group is No. 127. The formation energy comes out at -0.55 eV per atom.

abc: 6.468 6.468 4.379
angles: 90.00 90.00 90.00
Fractional coordinates of all 10 atoms:
Ir1 0.357 0.857 0.000
Ir2 0.857 0.643 0.000
Ir3 0.643 0.143 0.000
Ir4 0.143 0.357 0.000
Zr1 0.176 0.676 0.500
Zr2 0.676 0.824 0.500
Zr3 0.824 0.324 0.500
Zr4 0.324 0.176 0.500
V1 0.000 0.000 0.000
V2 0.500 0.500 0.000